# Ca2LaBi5 GGA-PBE optimized geometry
data_Ca2LaBi5
_cell_length_a 6.945
_cell_length_b 6.945
_cell_length_c 6.945
_cell_angle_alpha 105.53
_cell_angle_beta 105.54
_cell_angle_gamma 117.67
_symmetry_space_group_name_H-M 'P 1'
_symmetry_Int_Tables_number 1
loop_
_symmetry_equiv_pos_as_xyz
'x,y,z'
loop_
_atom_site_label
_atom_site_type_symbol
_atom_site_fract_x
_atom_site_fract_y
_atom_site_fract_z
_atom_site_occupancy
Ca1 Ca 0.278 0.778 0.500 1
Ca2 Ca 0.778 0.278 0.500 1
La1 La 0.778 0.778 0.000 1
Bi1 Bi 0.278 0.278 0.500 1
Bi2 Bi 0.278 0.778 0.000 1
Bi3 Bi 0.778 0.278 0.000 1
Bi4 Bi 0.778 0.778 0.500 1
Bi5 Bi 0.278 0.278 0.000 1
# - M_tot: 0.0 μB per formula unit
# - Electronic total energy: -4.16 eV/atom
# - Energy of formation: -617 meV per atom
# - Space-group type: I4/mmm, No. 139
# - Volume: 31.73 A^3/atom

---

# SmZn2Cu8 GGA-PBE optimized geometry
data_SmZn2Cu8
_cell_length_a 4.802
_cell_length_b 4.802
_cell_length_c 8.612
_cell_angle_alpha 90.00
_cell_angle_beta 90.00
_cell_angle_gamma 90.00
_symmetry_space_group_name_H-M 'P 1'
_symmetry_Int_Tables_number 1
loop_
_symmetry_equiv_pos_as_xyz
'x,y,z'
loop_
_atom_site_label
_atom_site_type_symbol
_atom_site_fract_x
_atom_site_fract_y
_atom_site_fract_z
_atom_site_occupancy
Sm1 Sm 0.500 0.500 0.500 1
Zn1 Zn 0.500 0.000 0.000 1
Zn2 Zn 0.000 0.500 0.000 1
Cu1 Cu 0.752 0.752 0.222 1
Cu2 Cu 0.752 0.248 0.778 1
Cu3 Cu 0.752 0.752 0.778 1
Cu4 Cu 0.752 0.248 0.222 1
Cu5 Cu 0.248 0.752 0.222 1
Cu6 Cu 0.248 0.752 0.778 1
Cu7 Cu 0.248 0.248 0.222 1
Cu8 Cu 0.248 0.248 0.778 1
# - M_tot: 0.0 μB per formula unit
# - Electronic total energy: -3.37 eV/atom
# - Energy of formation: 269 meV per atom
# - Space-group type: P4/mmm, No. 123
# - Volume: 18.06 A^3/atom

---

# SrTaCr3 GGA-PBE optimized geometry
data_SrTaCr3
_cell_length_a 4.746
_cell_length_b 4.746
_cell_length_c 4.746
_cell_angle_alpha 90.00
_cell_angle_beta 90.00
_cell_angle_gamma 90.00
_symmetry_space_group_name_H-M 'P 1'
_symmetry_Int_Tables_number 1
loop_
_symmetry_equiv_pos_as_xyz
'x,y,z'
loop_
_atom_site_label
_atom_site_type_symbol
_atom_site_fract_x
_atom_site_fract_y
_atom_site_fract_z
_atom_site_occupancy
Sr1 Sr 0.000 0.000 0.000 1
Cr1 Cr 0.000 0.500 0.000 1
Cr2 Cr 0.000 0.000 0.500 1
Cr3 Cr 0.500 0.000 0.000 1
Ta1 Ta 0.500 0.500 0.500 1
# - M_tot: 8.9 μB per formula unit
# - Electronic total energy: -5.90 eV/atom
# - Energy of formation: 2585 meV per atom
# - Space-group type: Pm-3m, No. 221
# - Volume: 21.39 A^3/atom
# - Energy above the most stable polymorph in this dataset: 7.15 eV/f.u.

---

# RbZnPb GGA-PBE optimized geometry
data_RbZnPb
_cell_length_a 5.821
_cell_length_b 4.775
_cell_length_c 4.775
_cell_angle_alpha 120.00
_cell_angle_beta 90.00
_cell_angle_gamma 90.00
_symmetry_space_group_name_H-M 'P 1'
_symmetry_Int_Tables_number 1
loop_
_symmetry_equiv_pos_as_xyz
'x,y,z'
loop_
_atom_site_label
_atom_site_type_symbol
_atom_site_fract_x
_atom_site_fract_y
_atom_site_fract_z
_atom_site_occupancy
Pb1 Pb 0.167 0.000 0.000 1
Zn1 Zn 0.167 0.333 0.667 1
Rb1 Rb 0.667 0.667 0.333 1
# - M_tot: 0.0 μB per formula unit
# - Electronic total energy: -1.98 eV/atom
# - Energy of formation: 1 meV per atom
# - Space-group type: P-6m2, No. 187
# - Volume: 38.30 A^3/atom
# - Energy above the most stable polymorph in this dataset: 0.04 eV/f.u.

---

# PaCdSb2 GGA-PBE optimized geometry
data_PaCdSb2
_cell_length_a 3.989
_cell_length_b 3.989
_cell_length_c 6.617
_cell_angle_alpha 90.00
_cell_angle_beta 90.00
_cell_angle_gamma 90.00
_symmetry_space_group_name_H-M 'P 1'
_symmetry_Int_Tables_number 1
loop_
_symmetry_equiv_pos_as_xyz
'x,y,z'
loop_
_atom_site_label
_atom_site_type_symbol
_atom_site_fract_x
_atom_site_fract_y
_atom_site_fract_z
_atom_site_occupancy
Sb1 Sb 0.000 0.000 0.733 1
Sb2 Sb 0.000 0.000 0.267 1
Pa1 Pa 0.500 0.500 0.500 1
Cd1 Cd 0.500 0.500 0.000 1
# - M_tot: 0.0 μB per formula unit
# - Electronic total energy: -4.94 eV/atom
# - Space-group type: P4/mmm, No. 123
# - Volume: 26.33 A^3/atom
# - Formation energy from raw total energies: -0.275 eV/atom
# - Energy above the most stable polymorph in this dataset: 0.40 eV/f.u.

---

# SmLuCdOs GGA-PBE optimized geometry
data_SmLuCdOs
_cell_length_a 5.019
_cell_length_b 5.019
_cell_length_c 5.019
_cell_angle_alpha 60.00
_cell_angle_beta 60.00
_cell_angle_gamma 60.00
_symmetry_space_group_name_H-M 'P 1'
_symmetry_Int_Tables_number 1
loop_
_symmetry_equiv_pos_as_xyz
'x,y,z'
loop_
_atom_site_label
_atom_site_type_symbol
_atom_site_fract_x
_atom_site_fract_y
_atom_site_fract_z
_atom_site_occupancy
Lu1 Lu 0.000 0.000 0.000 1
Os1 Os 0.750 0.750 0.750 1
Sm1 Sm 0.500 0.500 0.500 1
Cd1 Cd 0.250 0.250 0.250 1
# - M_tot: 0.0 μB per formula unit
# - Electronic total energy: -5.53 eV/atom
# - Energy of formation: -180 meV per atom
# - Space-group type: F-43m, No. 216
# - Volume: 22.35 A^3/atom